## CsLi2CeI8 (PBE)

Data for a relaxed CsLi2CeI8 crystal.

Summary:
Raw formation energy in eV per atom: -1.06
Final energy in eV/atom: -2.97
Crystal system: monoclinic
Total magnetization in μB per formula unit: 0.19
Mass density in g cm⁻³: 3.47

a b c (Å): 8.2700 8.2700 10.9321
angles (deg): 93.04 93.04 56.70
With the nearest neighbours (Å) after each atom.
Element x y z (fractional)
1 Cs 0.0000 0.0000 0.0000  6 I 3.83-3.90
2 Li 0.3170 0.3170 0.2538  4 I 2.74-2.85
3 Li 0.6830 0.6830 0.7462  4 I 2.74-2.85
4 Ce 0.0000 0.0000 0.5000  6 I 3.01-3.04
5 I 0.2006 0.2006 0.4456  1 Li 2.77, 1 Ce 3.01
6 I 0.2201 0.7029 0.2967  1 Li 2.85, 1 Ce 3.04
7 I 0.2631 0.2631 0.0092  1 Li 2.74
8 I 0.2971 0.7799 0.7033  1 Li 2.85, 1 Ce 3.04
9 I 0.7029 0.2201 0.2967  1 Li 2.85, 1 Ce 3.04
10 I 0.7369 0.7369 0.9908  1 Li 2.74
11 I 0.7799 0.2971 0.7033  1 Li 2.85, 1 Ce 3.04
12 I 0.7994 0.7994 0.5544  1 Li 2.77, 1 Ce 3.01